(1)
## SmY2Tl4 (PBE)

Data for crystalline SmY2Tl4 at its relaxed geometry.

Results
Density ... 8.88 g/cm³
Electronic total energy ... -4.12 eV per atom
Energy relative to the elements ... -1.73 eV per formula unit

a b c (Å): 6.530 6.530 6.530
angles (deg): 108.80 108.80 110.83
Atoms (fractional coordinates):
Sm: 0.000 0.000 0.000
Y: 0.000 0.500 0.500
Y: 0.500 0.000 0.500
Tl: 0.000 0.000 0.500
Tl: 0.000 0.500 0.000
Tl: 0.500 0.000 0.000
Tl: 0.500 0.500 0.500

(2)
## SmY3Tl2 (PBE)

Data for crystalline SmY3Tl2 at its relaxed geometry.

Results
Density ... 7.75 g/cm³
Electronic total energy ... -5.11 eV per atom
Energy relative to the elements ... -1.80 eV per formula unit

a b c (Å): 5.124 10.052 6.868
angles (deg): 90.00 90.00 90.00
Atoms (fractional coordinates):
Sm: 0.000 0.044 0.000
Sm: 0.000 0.956 0.500
Y: 0.000 0.315 0.621
Y: 0.000 0.685 0.121
Y: 0.500 0.190 0.280
Y: 0.500 0.455 0.905
Y: 0.500 0.545 0.405
Y: 0.500 0.810 0.780
Tl: 0.000 0.368 0.161
Tl: 0.000 0.632 0.661
Tl: 0.500 0.134 0.740
Tl: 0.500 0.866 0.240

(3)
## SmYTl (PBE)

Data for crystalline SmYTl at its relaxed geometry.

Results
Density ... 8.10 g/cm³
Electronic total energy ... -4.75 eV per atom
Energy relative to the elements ... -0.71 eV per formula unit

a b c (Å): 7.339 7.339 7.339
angles (deg): 151.30 151.30 41.04
Atoms (fractional coordinates):
Sm: 0.000 0.000 0.000
Y: 0.689 0.689 0.000
Tl: 0.341 0.341 0.000

(4)
## Sm6YTl5 (PBE)

Data for crystalline Sm6YTl5 at its relaxed geometry.

Results
Density ... 8.97 g/cm³
Electronic total energy ... -4.08 eV per atom
Energy relative to the elements ... -2.32 eV per formula unit

a b c (Å): 7.790 7.790 6.339
angles (deg): 98.83 98.83 95.50
Atoms (fractional coordinates):
Sm: 0.043 0.405 0.733
Sm: 0.219 0.219 0.218
Sm: 0.405 0.043 0.733
Sm: 0.595 0.957 0.267
Sm: 0.781 0.781 0.782
Sm: 0.957 0.595 0.267
Y: 0.500 0.500 0.000
Tl: 0.000 0.000 0.500
Tl: 0.206 0.794 0.000
Tl: 0.365 0.635 0.500
Tl: 0.635 0.365 0.500
Tl: 0.794 0.206 0.000